Material: KSc3Re
Method: DFT, GGA-PBE
State: optimized geometry

Properties
- formation enthalpy at 0 K (eV/atom) = 1.854

CIF file:
```
data_KSc3Re
_cell_length_a 4.686
_cell_length_b 4.686
_cell_length_c 4.686
_cell_angle_alpha 90.00
_cell_angle_beta 90.00
_cell_angle_gamma 90.00
_symmetry_space_group_name_H-M 'P m -3 m'
_symmetry_Int_Tables_number 221
_symmetry_space_group_name_Hall '-P 4 2 3'
loop_
_atom_site_label
_atom_site_type_symbol
_atom_site_fract_x
_atom_site_fract_y
_atom_site_fract_z
K1 K 0.000 0.000 0.000
Sc1 Sc 0.000 0.000 0.500
Re1 Re 0.500 0.500 0.500
```